VASP calculation (PBE) on a relaxed structure of Mg2ZnCdO4.

Results
Formation energy without anion corrections (eV/atom): -1.9097
Total energy (eV for the cell shown): -80.98
Crystal system: tetragonal
Total magnetic moment (μB per cell): 0.00

The structure in CIF format:
```
data_Mg2ZnCdO4
_cell_length_a 4.7721
_cell_length_b 4.7721
_cell_length_c 9.3741
_cell_angle_alpha 90.00
_cell_angle_beta 90.00
_cell_angle_gamma 90.00
_symmetry_space_group_name_H-M 'I -4 2 m'
_symmetry_Int_Tables_number 121
_symmetry_space_group_name_Hall 'I -4 2'
loop_
_atom_site_label
_atom_site_type_symbol
_atom_site_fract_x
_atom_site_fract_y
_atom_site_fract_z
Mg1 Mg 0.0000 0.5000 0.2500
Zn1 Zn 0.0000 0.0000 0.0000
Cd1 Cd 0.0000 0.0000 0.5000
O1 O 0.2306 0.2306 0.1356
```



VASP calculation (PBE) on a relaxed structure of Sc4Ir.

Results
Total energy (eV for the cell shown): -66.01
E_form (eV per atom): 0.24
Crystal system: tetragonal
Total magnetic moment (μB per cell): 0.00

The structure in CIF format:
```
data_Sc4Ir
_cell_length_a 3.6056
_cell_length_b 3.6056
_cell_length_c 17.2653
_cell_angle_alpha 90.00
_cell_angle_beta 90.00
_cell_angle_gamma 90.00
_symmetry_space_group_name_H-M 'I 4/m m m'
_symmetry_Int_Tables_number 139
_symmetry_space_group_name_Hall '-I 4 2'
loop_
_atom_site_label
_atom_site_type_symbol
_atom_site_fract_x
_atom_site_fract_y
_atom_site_fract_z
Sc1 Sc 0.0000 0.0000 0.0825
Sc2 Sc 0.0000 0.5000 0.2500
Ir1 Ir 0.0000 0.0000 0.5000
```



VASP calculation (PBE) on a relaxed structure of AlIr3Ru.

Results
Total energy (eV for the cell shown): -32.97
E_form (eV per atom): 1.33
Crystal system: cubic
Total magnetic moment (μB per cell): 4.38

The structure in CIF format:
```
data_AlIr3Ru
_cell_length_a 4.4295
_cell_length_b 4.4295
_cell_length_c 4.4295
_cell_angle_alpha 90.00
_cell_angle_beta 90.00
_cell_angle_gamma 90.00
_symmetry_space_group_name_H-M 'P m -3 m'
_symmetry_Int_Tables_number 221
_symmetry_space_group_name_Hall '-P 4 2 3'
loop_
_atom_site_label
_atom_site_type_symbol
_atom_site_fract_x
_atom_site_fract_y
_atom_site_fract_z
Al1 Al 0.0000 0.0000 0.0000
Ir1 Ir 0.0000 0.0000 0.5000
Ru1 Ru 0.5000 0.5000 0.5000
```